Record 1
Compound: Zn2MoRh
Source: Alexandria
Functional: meta-GGA SCAN
Structure: PBEsol geometry

Results
space group: No. 216
E: -23.94 eV per atom
M_tot: 0.01 μB per formula unit

a = 6.0551 Å, b = 6.0551 Å, c = 6.0551 Å
α = 90.00°, β = 90.00°, γ = 90.00°
With the nearest neighbours (Å) after each atom.
Fractional positions:
Zn (0.0000, 0.0000, 0.0000)  4 Mo 2.62, 4 Zn 2.62
Zn (0.0000, 0.5000, 0.5000)  4 Mo 2.62, 4 Zn 2.62
Zn (0.2500, 0.2500, 0.2500)  4 Rh 2.62, 4 Zn 2.62
Zn (0.2500, 0.7500, 0.7500)  4 Rh 2.62, 4 Zn 2.62
Zn (0.5000, 0.0000, 0.5000)  4 Mo 2.62, 4 Zn 2.62
Zn (0.5000, 0.5000, 0.0000)  4 Mo 2.62, 4 Zn 2.62
Zn (0.7500, 0.2500, 0.7500)  4 Rh 2.62, 4 Zn 2.62
Zn (0.7500, 0.7500, 0.2500)  4 Rh 2.62, 4 Zn 2.62
Mo (0.2500, 0.2500, 0.7500)  4 Rh 2.62, 4 Zn 2.62
Mo (0.2500, 0.7500, 0.2500)  4 Rh 2.62, 4 Zn 2.62
Mo (0.7500, 0.2500, 0.2500)  4 Rh 2.62, 4 Zn 2.62
Mo (0.7500, 0.7500, 0.7500)  4 Rh 2.62, 4 Zn 2.62
Rh (0.0000, 0.0000, 0.5000)  4 Zn 2.62, 4 Mo 2.62
Rh (0.0000, 0.5000, 0.0000)  4 Zn 2.62, 4 Mo 2.62
Rh (0.5000, 0.0000, 0.0000)  4 Zn 2.62, 4 Mo 2.62
Rh (0.5000, 0.5000, 0.5000)  4 Zn 2.62, 4 Mo 2.62



Record 2
Compound: BaNa2ZnB
Source: Alexandria
Functional: meta-GGA SCAN
Structure: PBEsol geometry

Results
space group: No. 123
E: -13.20 eV per atom
M_tot: 0.00 μB per formula unit

a = 5.2058 Å, b = 5.2058 Å, c = 5.4538 Å
α = 90.00°, β = 90.00°, γ = 90.00°
With the nearest neighbours (Å) after each atom.
Fractional positions:
Ba (0.0000, 0.0000, 0.0000)  2 B 2.73
Na (0.0000, 0.5000, 0.5000)  2 B 2.60
Na (0.5000, 0.0000, 0.5000)  2 B 2.60
Zn (0.5000, 0.5000, 0.0000)  4 Ba 3.68, 8 Na 3.77
B (0.0000, 0.0000, 0.5000)  4 Na 2.60, 2 Ba 2.73



Record 3
Compound: YCoAsBr2
Source: Alexandria
Functional: meta-GGA SCAN
Structure: PBEsol geometry

Results
E_form (uncorrected): -0.352 eV per atom
space group: No. 123
M_tot: 0.00 μB per formula unit

a = 4.6589 Å, b = 4.6589 Å, c = 4.8407 Å
α = 90.00°, β = 90.00°, γ = 90.00°
With the nearest neighbours (Å) after each atom.
Fractional positions:
Y (0.0000, 0.0000, 0.0000)  4 As 3.29, 8 Br 3.36
Co (0.5000, 0.5000, 0.5000)  4 Br 2.33, 2 As 2.42
As (0.5000, 0.5000, 0.0000)  2 Co 2.42
Br (0.0000, 0.5000, 0.5000)  2 Co 2.33
Br (0.5000, 0.0000, 0.5000)  2 Co 2.33



Record 4
Compound: Mg2AlAu
Source: Alexandria
Functional: meta-GGA SCAN
Structure: PBEsol geometry

Results
space group: No. 38
E: -22.16 eV per atom
M_tot: 0.00 μB per formula unit

a = 4.3639 Å, b = 3.2545 Å, c = 10.5083 Å
α = 90.00°, β = 90.00°, γ = 90.00°
With the nearest neighbours (Å) after each atom.
Fractional positions:
Mg (0.0000, 0.0000, 0.0000)  3 Al 2.85-2.90, 4 Au 2.90
Mg (0.0000, 0.5000, 0.5000)  3 Al 2.85-2.90, 4 Au 2.90
Mg (0.5000, 0.0000, 0.3294)  3 Au 2.81-2.94, 4 Al 2.92
Mg (0.5000, 0.5000, 0.8294)  3 Au 2.81-2.94, 4 Al 2.92
Al (0.0000, 0.0000, 0.7289)  2 Au 2.59, 1 Mg 2.85
Al (0.0000, 0.5000, 0.2289)  2 Au 2.59, 1 Mg 2.85
Au (0.5000, 0.0000, 0.5964)  2 Al 2.59, 1 Mg 2.81
Au (0.5000, 0.5000, 0.0964)  2 Al 2.59, 1 Mg 2.81